# 1
## LiPrPb (GGA-PBE)

Data for a geometry-optimized LiPrPb structure.

POSCAR file:
```
LiPrPb
1.0
4.845 0.000 0.000
2.422 4.196 0.000
2.422 1.399 3.956
Pb Li Pr
1 1 1
Direct
0.000 0.000 0.000
0.250 0.250 0.250
0.500 0.500 0.500
```

Results
SG = F-43m, No. 216
total magnetization = 0.00 μB/atom
formation energy = -0.38 eV/atom
DFT total energy = -3.845 eV per atom

# 2
## LiPr3Pb2 (GGA-PBE)

Data for a geometry-optimized LiPr3Pb2 structure.

POSCAR file:
```
LiPr3Pb2
1.0
-6.862 0.234 2.504
0.046 -8.089 0.880
5.969 4.698 5.254
Pr Pb Li
6 4 2
Direct
0.226 0.976 0.452
0.774 0.024 0.548
0.226 0.476 0.452
0.500 0.750 0.000
0.500 0.250 0.000
0.774 0.524 0.548
0.153 0.870 0.739
0.587 0.370 0.739
0.847 0.130 0.261
0.413 0.630 0.261
0.000 0.000 0.000
0.000 0.500 0.000
```

Results
SG = Ibam, No. 72
total magnetization = 0.17 μB/atom
formation energy = -0.23 eV/atom
DFT total energy = -4.171 eV per atom